1.
This record from Alexandria via LeMat-Bulk describes a relaxed structure of Be2CrSe. The functional is PBE-GGA.

## Properties
The value obtained for the raw formation energy is 0.2023 eV per atom. The calculation puts the magnetic moment at 0.00 μB/f.u. The volume is 11.4 Å³ per atom.

Geometry as CIF:
```
data_Be2CrSe
_cell_length_a 3.0721
_cell_length_b 3.0721
_cell_length_c 4.8254
_cell_angle_alpha 90.00
_cell_angle_beta 90.00
_cell_angle_gamma 90.00
_symmetry_space_group_name_H-M 'P 4 m m'
_symmetry_Int_Tables_number 99
loop_
_symmetry_equiv_pos_as_xyz
'x,y,z'
'-y,x,z'
'-x,-y,z'
'y,-x,z'
'-x,y,z'
'y,x,z'
'x,-y,z'
'-y,-x,z'
loop_
_atom_site_label
_atom_site_type_symbol
_atom_site_fract_x
_atom_site_fract_y
_atom_site_fract_z
_atom_site_occupancy
Be1 Be 0.0000 0.0000 0.0000 1
Be2 Be 0.5000 0.5000 0.1975 1
Cr1 Cr 0.0000 0.0000 0.4672 1
Se1 Se 0.5000 0.5000 0.7120 1
```

---

2.
This record from Alexandria via LeMat-Bulk describes a relaxed structure of Be2CrSe. The functional is PBE-GGA.

## Properties
The value obtained for the raw formation energy is 0.5141 eV per atom. The calculation puts the magnetic moment at 1.12 μB/f.u. The volume is 12.1 Å³ per atom.

Geometry as CIF:
```
data_Be2CrSe
_cell_length_a 4.6953
_cell_length_b 7.9751
_cell_length_c 2.7632
_cell_angle_alpha 90.00
_cell_angle_beta 110.91
_cell_angle_gamma 90.00
_symmetry_space_group_name_H-M 'C 1 2/m 1'
_symmetry_Int_Tables_number 12
loop_
_symmetry_equiv_pos_as_xyz
'x,y,z'
'-x,-y,-z'
'-x,y,-z'
'x,-y,z'
'x+1/2,y+1/2,z'
'-x+1/2,-y+1/2,-z'
'-x+1/2,y+1/2,-z'
'x+1/2,-y+1/2,z'
loop_
_atom_site_label
_atom_site_type_symbol
_atom_site_fract_x
_atom_site_fract_y
_atom_site_fract_z
_atom_site_occupancy
Be1 Be 0.2500 0.2500 0.0000 1
Cr1 Cr 0.0000 0.0000 0.5000 1
Se1 Se 0.0000 0.5000 0.5000 1
```

---

3.
This record from Alexandria via LeMat-Bulk describes a relaxed structure of Be2CrSe. The functional is PBE-GGA.

## Properties
The value obtained for the raw formation energy is 0.4470 eV per atom. The calculation puts the magnetic moment at 0.00 μB/f.u. The volume is 14.3 Å³ per atom.

Geometry as CIF:
```
data_Be2CrSe
_cell_length_a 2.5256
_cell_length_b 2.5256
_cell_length_c 8.9957
_cell_angle_alpha 90.00
_cell_angle_beta 90.00
_cell_angle_gamma 90.00
_symmetry_space_group_name_H-M 'P 4/m m m'
_symmetry_Int_Tables_number 123
_symmetry_space_group_name_Hall '-P 4 2'
loop_
_atom_site_label
_atom_site_type_symbol
_atom_site_fract_x
_atom_site_fract_y
_atom_site_fract_z
_atom_site_occupancy
Be1 Be 0.0000 0.0000 0.1734 1
Cr1 Cr 0.5000 0.5000 0.0000 1
Se1 Se 0.5000 0.5000 0.5000 1
```

---

4.
This record from Alexandria via LeMat-Bulk describes a relaxed structure of BeCr2Se. The functional is PBE-GGA.

## Properties
The value obtained for the raw formation energy is 0.3622 eV per atom. The calculation puts the magnetic moment at 4.42 μB/f.u. The volume is 13.6 Å³ per atom.

Geometry as CIF:
```
data_BeCr2Se
_cell_length_a 3.1296
_cell_length_b 3.1296
_cell_length_c 19.1728
_cell_angle_alpha 90.00
_cell_angle_beta 90.00
_cell_angle_gamma 120.00
_symmetry_space_group_name_H-M 'R -3 m'
_symmetry_Int_Tables_number 166
_symmetry_space_group_name_Hall '-R 3 2"'
loop_
_atom_site_label
_atom_site_type_symbol
_atom_site_fract_x
_atom_site_fract_y
_atom_site_fract_z
_atom_site_occupancy
Be1 Be 0.0000 0.0000 0.0000 1
Cr1 Cr 0.0000 0.0000 0.2583 1
Se1 Se 0.0000 0.0000 0.5000 1
```

---

5.
This record from Alexandria via LeMat-Bulk describes a relaxed structure of BeCr2Se. The functional is PBE-GGA.

## Properties
The value obtained for the raw formation energy is 0.1074 eV per atom. The calculation puts the magnetic moment at 0.13 μB/f.u. The volume is 11.7 Å³ per atom.

Geometry as CIF:
```
data_BeCr2Se
_cell_length_a 3.0105
_cell_length_b 3.0105
_cell_length_c 5.1799
_cell_angle_alpha 90.00
_cell_angle_beta 90.00
_cell_angle_gamma 90.00
_symmetry_space_group_name_H-M 'P 4 m m'
_symmetry_Int_Tables_number 99
loop_
_symmetry_equiv_pos_as_xyz
'x,y,z'
'-y,x,z'
'-x,-y,z'
'y,-x,z'
'-x,y,z'
'y,x,z'
'x,-y,z'
'-y,-x,z'
loop_
_atom_site_label
_atom_site_type_symbol
_atom_site_fract_x
_atom_site_fract_y
_atom_site_fract_z
_atom_site_occupancy
Be1 Be 0.0000 0.0000 0.0000 1
Cr1 Cr 0.0000 0.0000 0.4682 1
Cr2 Cr 0.5000 0.5000 0.2018 1
Se1 Se 0.5000 0.5000 0.7270 1
```

---

6.
This record from Alexandria via LeMat-Bulk describes a relaxed structure of BeCr2Se. The functional is PBE-GGA.

## Properties
The value obtained for the raw formation energy is 0.4135 eV per atom. The calculation puts the magnetic moment at 0.94 μB/f.u. The volume is 12.7 Å³ per atom.

Geometry as CIF:
```
data_BeCr2Se
_cell_length_a 5.8840
_cell_length_b 5.8840
_cell_length_c 5.8840
_cell_angle_alpha 90.00
_cell_angle_beta 90.00
_cell_angle_gamma 90.00
_symmetry_space_group_name_H-M 'F -4 3 m'
_symmetry_Int_Tables_number 216
_symmetry_space_group_name_Hall 'F -4 2 3'
loop_
_atom_site_label
_atom_site_type_symbol
_atom_site_fract_x
_atom_site_fract_y
_atom_site_fract_z
_atom_site_occupancy
Be1 Be 0.0000 0.0000 0.0000 1
Cr1 Cr 0.0000 0.0000 0.5000 1
Cr2 Cr 0.2500 0.2500 0.7500 1
Se1 Se 0.2500 0.2500 0.2500 1
```

---

7.
This record from Alexandria via LeMat-Bulk describes a relaxed structure of BeCr2Se. The functional is PBE-GGA.

## Properties
The value obtained for the raw formation energy is 0.2659 eV per atom. The calculation puts the magnetic moment at 0.00 μB/f.u. The volume is 12.1 Å³ per atom.

Geometry as CIF:
```
data_BeCr2Se
_cell_length_a 3.0378
_cell_length_b 3.0378
_cell_length_c 5.2465
_cell_angle_alpha 90.00
_cell_angle_beta 90.00
_cell_angle_gamma 90.00
_symmetry_space_group_name_H-M 'P 4/m m m'
_symmetry_Int_Tables_number 123
_symmetry_space_group_name_Hall '-P 4 2'
loop_
_atom_site_label
_atom_site_type_symbol
_atom_site_fract_x
_atom_site_fract_y
_atom_site_fract_z
_atom_site_occupancy
Be1 Be 0.0000 0.0000 0.0000 1
Cr1 Cr 0.5000 0.5000 0.2079 1
Se1 Se 0.0000 0.0000 0.5000 1
```

---

8.
This record from Alexandria via LeMat-Bulk describes a relaxed structure of BeCr2Se. The functional is PBE-GGA.

## Properties
The value obtained for the raw formation energy is 0.3446 eV per atom. The calculation puts the magnetic moment at 4.09 μB/f.u. The volume is 12.5 Å³ per atom.

Geometry as CIF:
```
data_BeCr2Se
_cell_length_a 5.7343
_cell_length_b 5.7688
_cell_length_c 3.0122
_cell_angle_alpha 90.00
_cell_angle_beta 90.00
_cell_angle_gamma 90.00
_symmetry_space_group_name_H-M 'C m m m'
_symmetry_Int_Tables_number 65
_symmetry_space_group_name_Hall '-C 2 2'
loop_
_atom_site_label
_atom_site_type_symbol
_atom_site_fract_x
_atom_site_fract_y
_atom_site_fract_z
_atom_site_occupancy
Be1 Be 0.0000 0.0000 0.0000 1
Cr1 Cr 0.2500 0.2500 0.5000 1
Se1 Se 0.0000 0.5000 0.0000 1
```